! GGA+U Ba2CaV2P4O18, optimized geometry; values from VASP
&SYSTEM
  ibrav = 0, nat = 54, ntyp = 5
/
ATOMIC_SPECIES
Ba 137.33 Ba.upf
Ca 40.08 Ca.upf
V 50.94 V.upf
P 30.97 P.upf
O 16.00 O.upf
CELL_PARAMETERS angstrom
-5.3613 2.8722 -3.7543
-4.8706 -3.8510 4.0093
1.3854 12.4307 7.5314
ATOMIC_POSITIONS angstrom
Ba -3.9547 5.3281 2.7411
Ba -7.3701 7.5297 3.1398
Ba -3.0658 -1.3626 2.8733
Ba -3.1212 11.4681 6.6053
Ca -4.0409 7.9711 8.8086
Ca -7.6836 3.3361 2.9771
V -1.0977 8.3309 4.7782
V -5.0527 1.6988 4.8230
V -4.6596 3.6526 -0.9967
V -6.8120 9.2277 6.8716
P -0.0742 5.8350 4.1568
P -7.0779 -1.7949 1.5021
P -5.3229 1.8389 1.5915
P -5.8027 2.3174 -3.1352
P -1.9403 2.1113 4.0339
P -4.1473 7.7955 5.6953
P -6.3314 11.0501 4.2395
P -6.0476 4.2396 5.5042
O -3.2617 1.2343 4.3813
O -4.8563 7.7078 1.3696
O -2.9015 8.6458 5.1963
O 0.4950 7.3299 4.3057
O -8.4617 10.2408 7.2204
O -4.9297 8.8963 6.5593
O -6.9683 9.8064 5.0663
O -5.8220 11.3038 7.6511
O -4.5946 0.5262 1.4622
O -4.9281 7.2913 4.5093
O -0.4931 11.9567 7.7056
O -0.8983 7.5719 6.5518
O -4.5732 2.9549 0.7450
O -2.9843 2.7850 -1.3946
O -5.2422 2.4772 3.0599
O -4.0779 5.1710 -0.7092
O -2.0642 9.2541 8.1265
O -6.6204 5.1085 1.6554
O -6.7652 5.0161 4.4100
O -0.4817 9.8309 5.0897
O -5.5825 1.6565 -1.7489
O -4.9798 11.4338 4.7535
O -4.5102 1.5375 6.7069
O -1.5170 8.5853 2.9134
O -6.4116 9.1896 8.7713
O -6.5397 4.0077 -0.6792
O -7.4036 7.7412 6.7095
O -5.7469 0.2673 4.5890
O -4.2723 10.2670 9.4363
O -6.6228 2.7163 5.3428
O -6.8179 1.8566 1.2809
O -5.0901 3.7356 -2.8860
O -4.5394 4.0302 5.2686
O -3.7047 6.7752 6.7416
O -1.5926 6.1055 4.3256
O -2.2833 3.4028 3.3611
! DFT total energy = -0.5373 Ry per atom